First-principles (GGA+U) data for a geometry-optimized Li2Mn2Si2O7 structure, as listed in the Alexandria database.

Cell lengths 5.655, 5.655, 13.507 Å; angles 90.00, 90.00, 127.79 degrees
Last column: magnetic moment on the atom in μB.
Element x y z (fractional)
O: 0.104 0.542 0.064  0.05
O: 0.254 0.328 0.882  0.02
O: 0.675 0.868 0.130  0.02
Mn: 0.646 0.207 0.087  4.61
O: 0.328 0.254 0.118  0.02
O: 0.494 0.192 0.750  0.01
Si: 0.546 0.340 0.863  0.01
Mn: 0.207 0.646 0.913  4.61
Mn: 0.646 0.207 0.413  4.61
O: 0.254 0.328 0.618  0.02
Li: 0.020 0.961 0.750  0.00
O: 0.675 0.868 0.370  0.02
O: 0.192 0.494 0.250  0.01
Si: 0.340 0.546 0.363  0.01
Si: 0.546 0.340 0.637  0.01
Li: 0.961 0.020 0.250  0.00
Si: 0.340 0.546 0.137  0.01
O: 0.104 0.542 0.436  0.05
O: 0.328 0.254 0.382  0.02
O: 0.542 0.104 0.936  0.05
O: 0.542 0.104 0.564  0.05
O: 0.868 0.675 0.870  0.02
O: 0.868 0.675 0.630  0.02
Mn: 0.207 0.646 0.587  4.61
Li: 0.025 0.025 0.500  0.00
Li: 0.025 0.025 0.000  0.00

D(E_F) (states/eV per cell): 0.000
Space-group type: Ama2
Energy relative to the lowest polymorph listed for this composition (eV per formula unit): 0.573